A geometry-optimized TbPuMg2 structure, computed with GGA-PBE.

Cell: 5.3665 5.3665 5.3665 Å, 60.00 60.00 60.00°
Closest atoms and distances in Å follow each position.
Fractional positions:
Tb (0.0000, 0.0000, 0.0000)  8 Mg 3.29
Pu (0.5000, 0.5000, 0.5000)  8 Mg 3.29
Mg (0.2500, 0.2500, 0.2500)  4 Pu 3.29, 4 Tb 3.29
Mg (0.7500, 0.7500, 0.7500)  4 Pu 3.29, 4 Tb 3.29

Energy above the lowest structure with this stoichiometry   0.07 eV/f.u.
Energy relative to the elements   0.098 eV/atom